Record 1
VASP calculation (GGA-PBE) on an optimized crystal structure of ZrFeCl4.

Cell lengths 5.659, 5.659, 5.659 Å; angles 60.00, 60.00, 60.00 degrees
Element x y z (fractional)
Cl (0.375, 0.375, 0.375)
Zr (0.000, 0.000, 0.000)
Cl (0.375, 0.875, 0.375)
Cl (0.375, 0.375, 0.875)
Fe (0.750, 0.750, 0.750)
Cl (0.875, 0.375, 0.375)

Results
Density ... 3.74 g/cm³
Size of the total moment ... 3.77 μB per formula unit
Formation energy (no corrections) ... 64.8 kJ per mole of atoms
SG ... F-43m
D(E_F) ... 1.517 states/eV/atom

Record 2
VASP calculation (GGA-PBE) on an optimized crystal structure of AcDy2HoTm.

Cell lengths 5.782, 9.770, 6.332 Å; angles 109.34, 90.00, 90.00 degrees
Element x y z (fractional)
Dy (0.750, 0.497, 0.834)
Tm (0.250, 0.687, 0.757)
Ho (0.250, 0.892, 0.373)
Dy (0.750, 0.695, 0.432)
Ac (0.250, 0.107, 0.970)
Dy (0.250, 0.503, 0.166)
Ho (0.750, 0.108, 0.627)
Ac (0.750, 0.893, 0.030)
Dy (0.250, 0.305, 0.568)
Tm (0.750, 0.313, 0.243)

Results
Density ... 8.72 g/cm³
Size of the total moment ... 0.00 μB per formula unit
Formation enthalpy at 0 K ... 45 meV per atom
SG ... P2_1/m
D(E_F) ... 1.778 states/eV/atom

Record 3
VASP calculation (GGA-PBE) on an optimized crystal structure of Y8NiTe4Se3.

Cell lengths 8.402, 8.546, 8.403 Å; angles 119.44, 120.00, 90.00 degrees
Element x y z (fractional)
Y (0.774, 0.286, 0.012)
Te (0.500, 0.000, 0.000)
Y (0.774, 0.286, 0.547)
Te (0.000, 0.000, 0.000)
Y (0.761, 0.714, 0.988)
Y (0.259, 0.276, 0.517)
Y (0.239, 0.286, 0.012)
Ni (0.000, 0.500, 0.000)
Se (0.500, 0.500, 0.500)
Se (0.000, 0.500, 0.500)
Y (0.226, 0.714, 0.453)
Y (0.741, 0.724, 0.483)
Y (0.226, 0.714, 0.988)
Se (0.500, 0.500, 0.000)
Te (0.500, 0.000, 0.500)
Te (0.000, 0.000, 0.500)

Results
Density ... 5.86 g/cm³
Size of the total moment ... 0.00 μB per formula unit
Formation energy (no corrections) ... -135.8 kJ per mole of atoms
SG ... R-3m
D(E_F) ... 0.432 states/eV/atom

Record 4
VASP calculation (GGA-PBE) on an optimized crystal structure of Sr2ReTeRh.

Cell lengths 5.894, 4.941, 5.894 Å; angles 90.00, 90.00, 90.00 degrees
Element x y z (fractional)
Re (0.000, 0.000, 0.000)
Sr (0.500, 0.000, 0.000)
Te (0.000, 0.500, 0.000)
Sr (0.000, 0.000, 0.500)
Rh (0.500, 0.500, 0.500)

Results
Density ... 5.73 g/cm³
Size of the total moment ... 1.75 μB per formula unit
Formation energy (no corrections) ... 75.4 kJ per mole of atoms
SG ... P4/mmm
D(E_F) ... 1.433 states/eV/atom

Record 5
VASP calculation (GGA-PBE) on an optimized crystal structure of Sr4Ca3Cd.

Cell lengths 4.120, 4.120, 20.965 Å; angles 90.00, 90.00, 90.00 degrees
Element x y z (fractional)
Ca (0.500, 0.500, 0.230)
Ca (0.500, 0.500, 0.770)
Sr (0.000, 0.000, 0.635)
Sr (0.000, 0.000, 0.365)
Sr (0.000, 0.000, 0.093)
Ca (0.500, 0.500, 0.500)
Sr (0.000, 0.000, 0.907)
Cd (0.500, 0.500, 0.000)

Results
Density ... 2.72 g/cm³
Size of the total moment ... 0.00 μB per formula unit
Formation enthalpy at 0 K ... -73 meV per atom
SG ... P4/mmm
D(E_F) ... 1.184 states/eV/atom

Record 6
VASP calculation (GGA-PBE) on an optimized crystal structure of Tb5DyY5.

Cell lengths 6.100, 6.100, 11.460 Å; angles 90.00, 90.00, 120.00 degrees
Element x y z (fractional)
Y (0.667, 0.333, 0.160)
Tb (0.000, 0.000, 0.735)
Y (0.000, 0.000, 0.000)
Y (0.333, 0.667, 0.680)
Tb (0.831, 0.663, 0.500)
Tb (0.000, 0.000, 0.265)
Tb (0.831, 0.169, 0.500)
Tb (0.337, 0.169, 0.500)
Y (0.333, 0.667, 0.320)
Dy (0.333, 0.667, 0.000)
Y (0.667, 0.333, 0.840)

Results
Density ... 6.30 g/cm³
Size of the total moment ... 0.00 μB per formula unit
Formation enthalpy at 0 K ... 307 meV per atom
SG ... P-6m2
D(E_F) ... 1.855 states/eV/atom

| no. | E (eV per formula unit) |
| --- | --- |
| 1 | -20.37 |
| 2 | -22.14 |
| 3 | -103.03 |
| 4 | -22.40 |
| 5 | -14.23 |
| 6 | -56.69 |